Record 1
Material: RbAgHgI4
Method: DFT, PBE
State: relaxed

Cell: 7.463 8.579 10.049 Å, 90.00 103.25 90.00°
Atoms (fractional coordinates):
Rb 0.790 0.750 0.937
Rb 0.210 0.250 0.063
Ag 0.693 0.750 0.302
Ag 0.307 0.250 0.698
Hg 0.210 0.750 0.339
Hg 0.790 0.250 0.661
I 0.051 0.498 0.726
I 0.949 0.998 0.274
I 0.949 0.502 0.274
I 0.051 0.002 0.726
I 0.367 0.750 0.084
I 0.633 0.250 0.916
I 0.537 0.750 0.537
I 0.463 0.250 0.463

Properties
size of the total moment: 0.00 Bohr magnetons per cell
SG: P2_1/m, No. 11
E: -2.077 eV/atom
energy relative to the elements, uncorrected: -603 meV/atom


Record 2
Material: La2TaO6
Method: DFT, PBE
State: relaxed

Cell: 5.246 5.246 10.616 Å, 90.00 90.00 90.00°
Each line ends with the local moment (μB).
Atoms (fractional coordinates):
La 0.000 0.000 0.332  0.00
La 0.500 0.500 0.832  0.00
La 0.500 0.500 0.168  0.00
La 0.000 0.000 0.668  0.00
Ta 0.000 0.000 0.000  -0.05
Ta 0.500 0.500 0.500  -0.05
O 0.320 0.320 0.358  0.12
O 0.680 0.680 0.358  0.12
O 0.180 0.820 0.858  0.12
O 0.820 0.180 0.858  0.12
O 0.180 0.820 0.142  0.12
O 0.820 0.180 0.142  0.12
O 0.320 0.320 0.642  0.12
O 0.680 0.680 0.642  0.12
O 0.271 0.271 0.000  0.20
O 0.729 0.729 0.000  0.20
O 0.229 0.771 0.500  0.20
O 0.771 0.229 0.500  0.20

Properties
size of the total moment: 2.05 Bohr magnetons per cell
SG: P4_2/mnm, No. 136
E: -8.681 eV/atom
energy relative to the elements, uncorrected: -2964 meV/atom


Record 3
Material: BeCdNi2
Method: DFT, PBE
State: relaxed

Cell: 4.349 4.349 4.710 Å, 79.05 79.05 36.26°
Atoms (fractional coordinates):
Ni 0.989 0.989 0.056
Ni 0.244 0.244 0.273
Be 0.517 0.517 0.412
Cd 0.751 0.751 0.758

Properties
size of the total moment: 0.00 Bohr magnetons per cell
SG: Cm, No. 8
E: -3.981 eV/atom
energy relative to the elements: 70 meV per atom


Record 4
Material: BaAgO3
Method: DFT, PBE
State: relaxed

Cell: 4.242 6.827 6.694 Å, 83.92 94.22 80.13°
Atoms (fractional coordinates):
Ag 0.630 0.115 0.751
Ag 0.626 0.349 0.250
O 0.768 0.861 0.421
O 0.537 0.900 0.563
O 0.814 0.266 0.981
O 0.487 0.716 0.941
O 0.700 0.853 0.968
O 0.526 0.380 0.547
Ba 0.207 0.952 0.195
Ba 0.987 0.557 0.730

Properties
size of the total moment: 0.00 Bohr magnetons per cell
SG: P1, No. 1
E: -5.005 eV/atom
energy relative to the elements, uncorrected: -1075 meV/atom


Record 5
Material: Lu5Al
Method: DFT, PBE
State: relaxed

Cell: 4.722 4.712 7.581 Å, 108.11 90.00 90.00°
Atoms (fractional coordinates):
Lu 0.500 0.834 0.667
Lu 0.000 0.660 0.321
Lu 0.500 0.500 0.000
Lu 0.000 0.340 0.679
Lu 0.500 0.166 0.333
Al 0.000 0.000 0.000

Properties
size of the total moment: 0.00 Bohr magnetons per cell
SG: Cmmm, No. 65
E: -4.497 eV/atom
energy relative to the elements: -106 meV per atom


Record 6
Material: La12YTl3
Method: DFT, PBE
State: relaxed

Cell: 5.089 5.089 20.646 Å, 90.00 90.00 90.00°
Atoms (fractional coordinates):
La 0.500 0.500 0.000
La 0.500 0.500 0.254
La 0.500 0.500 0.500
La 0.500 0.500 0.746
La 0.500 0.000 0.130
La 0.500 0.000 0.377
La 0.500 0.000 0.623
La 0.500 0.000 0.870
La 0.000 0.500 0.130
La 0.000 0.500 0.377
La 0.000 0.500 0.623
La 0.000 0.500 0.870
Y 0.000 0.000 0.000
Tl 0.000 0.000 0.255
Tl 0.000 0.000 0.500
Tl 0.000 0.000 0.745

Properties
size of the total moment: 0.00 Bohr magnetons per cell
SG: P4/mmm, No. 123
E: -4.714 eV/atom
energy relative to the elements: -171 meV per atom